Record 1
Below is an optimized crystal structure of NaBe2H, with properties calculated at the PBE-GGA level.

extended XYZ file:
```
4
Lattice="0.000 2.945 2.945 2.945 0.000 2.945 2.945 2.945 0.000" Properties=species:S:1:pos:R:3 pbc="T T T"
Na 2.945 2.945 2.945
H 0.000 0.000 0.000
Be 1.473 1.473 1.473
Be 4.418 4.418 4.418
```

Results
E ... -1.64 eV per atom


Record 2
Below is an optimized crystal structure of Ho5Tm3Sc2, with properties calculated at the PBE-GGA level.

extended XYZ file:
```
20
Lattice="2.358 -8.842 0.021 8.936 -1.663 1.040 -6.577 5.017 7.147" Properties=species:S:1:pos:R:3 pbc="T T T"
Ho 5.564 -3.568 0.970
Ho -0.847 -1.921 7.238
Ho 3.917 0.734 4.802
Ho 0.632 -2.856 4.261
Ho 0.799 -6.222 3.407
Ho 4.085 -2.632 3.947
Ho 2.735 -4.997 6.034
Ho 1.982 -0.491 2.174
Ho -2.950 0.217 5.497
Ho 7.667 -5.706 2.711
Tm 2.436 1.670 7.774
Tm 2.281 -7.158 0.434
Tm 4.217 -5.951 3.061
Tm 0.500 0.463 5.147
Tm 7.815 -9.070 1.850
Tm -3.098 3.582 6.359
Sc 6.158 -4.762 5.671
Sc -1.441 -0.726 2.537
Sc 2.585 -1.653 6.907
Sc 2.132 -3.836 1.301
```

Results
E ... -4.86 eV per atom
Energy relative to the elements ... 40 meV/atom


Please write out number 2 again, unchanged.
Below is an optimized crystal structure of Ho5Tm3Sc2, with properties calculated at the PBE-GGA level.

extended XYZ file:
```
20
Lattice="2.358 -8.842 0.021 8.936 -1.663 1.040 -6.577 5.017 7.147" Properties=species:S:1:pos:R:3 pbc="T T T"
Ho 5.564 -3.568 0.970
Ho -0.847 -1.921 7.238
Ho 3.917 0.734 4.802
Ho 0.632 -2.856 4.261
Ho 0.799 -6.222 3.407
Ho 4.085 -2.632 3.947
Ho 2.735 -4.997 6.034
Ho 1.982 -0.491 2.174
Ho -2.950 0.217 5.497
Ho 7.667 -5.706 2.711
Tm 2.436 1.670 7.774
Tm 2.281 -7.158 0.434
Tm 4.217 -5.951 3.061
Tm 0.500 0.463 5.147
Tm 7.815 -9.070 1.850
Tm -3.098 3.582 6.359
Sc 6.158 -4.762 5.671
Sc -1.441 -0.726 2.537
Sc 2.585 -1.653 6.907
Sc 2.132 -3.836 1.301
```

Results
E ... -4.86 eV per atom
Energy relative to the elements ... 40 meV/atom


Q: Number 2 is which compound?
A: Ho5Tm3Sc2


Q: Look up the E of the first one.
A: -1.64 eV per atom